A plane-wave DFT calculation with PBE was carried out for Ag7Sb2 after structural relaxation.

```
data_Ag7Sb2
_cell_length_a 3.0297
_cell_length_b 3.0297
_cell_length_c 31.5938
_cell_angle_alpha 90.02
_cell_angle_beta 90.02
_cell_angle_gamma 59.84
_symmetry_space_group_name_H-M 'P 1'
_symmetry_Int_Tables_number 1
_symmetry_space_group_name_Hall 'P 1'
loop_
_atom_site_label
_atom_site_type_symbol
_atom_site_fract_x
_atom_site_fract_y
_atom_site_fract_z
Ag1 Ag 0.0000 0.0000 0.0000
Ag2 Ag 0.9998 0.9998 0.2186
Ag3 Ag 0.0002 0.0002 0.7814
Ag4 Ag 0.3334 0.3334 0.0725
Ag5 Ag 0.3333 0.3333 0.8547
Ag6 Ag 0.6667 0.6667 0.1453
Ag7 Ag 0.6666 0.6666 0.9275
Sb1 Sb 0.3334 0.3334 0.2976
Sb2 Sb 0.6666 0.6666 0.7024
```

A plane-wave DFT calculation with PBE was carried out for Pd2CS after structural relaxation.

```
data_Pd2CS
_cell_length_a 4.6062
_cell_length_b 4.6062
_cell_length_c 10.4493
_cell_angle_alpha 90.00
_cell_angle_beta 90.00
_cell_angle_gamma 90.00
_symmetry_space_group_name_H-M 'P 1'
_symmetry_Int_Tables_number 1
_symmetry_space_group_name_Hall 'P 1'
loop_
_atom_site_label
_atom_site_type_symbol
_atom_site_fract_x
_atom_site_fract_y
_atom_site_fract_z
Pd1 Pd 0.0000 0.0000 0.1683
Pd2 Pd 0.0000 0.0000 0.8317
Pd3 Pd 0.0000 0.5000 0.0000
Pd4 Pd 0.0000 0.5000 0.5000
Pd5 Pd 0.5000 0.0000 0.0000
Pd6 Pd 0.5000 0.0000 0.5000
Pd7 Pd 0.5000 0.5000 0.3317
Pd8 Pd 0.5000 0.5000 0.6683
C1 C 0.0000 0.0000 0.4372
C2 C 0.0000 0.0000 0.5628
C3 C 0.5000 0.5000 0.0628
C4 C 0.5000 0.5000 0.9372
S1 S 0.0000 0.5000 0.2500
S2 S 0.0000 0.5000 0.7500
S3 S 0.5000 0.0000 0.2500
S4 S 0.5000 0.0000 0.7500
```

A plane-wave DFT calculation with PBE was carried out for PrPd3Pt2 after structural relaxation.

```
data_PrPd3Pt2
_cell_length_a 5.3970
_cell_length_b 5.3970
_cell_length_c 4.4503
_cell_angle_alpha 90.00
_cell_angle_beta 90.00
_cell_angle_gamma 120.00
_symmetry_space_group_name_H-M 'P 1'
_symmetry_Int_Tables_number 1
_symmetry_space_group_name_Hall 'P 1'
loop_
_atom_site_label
_atom_site_type_symbol
_atom_site_fract_x
_atom_site_fract_y
_atom_site_fract_z
Pr1 Pr 0.0000 0.0000 0.0000
Pd1 Pd 0.0000 0.5000 0.5000
Pd2 Pd 0.5000 0.0000 0.5000
Pd3 Pd 0.5000 0.5000 0.5000
Pt1 Pt 0.3333 0.6667 0.0000
Pt2 Pt 0.6667 0.3333 0.0000
```

Record order is preserved below.
DFT total energy: -2.988 -5.335 -5.990 eV/atom